(1)
The following is a DFT calculation (PBE) of a geometry-optimized CsSm2CuSe3S structure.

## Properties
- SG = Cmcm, No. 63
- electronic total energy (eV/atom) = -5.110
- calculated density (g/cm3) = 5.7
- volume (Å³ per cell) = 447
- ΔE to the lowest computed polymorph (kJ per mole of atoms) = 0.0

```
CsSm2CuSe3S
1.0
2.0961 -7.3609 0.0000
2.0961 7.3609 0.0000
0.0000 0.0000 14.4789
Cs Sm Cu Se S
2 4 2 6 2
Direct
0.1007 0.8993 0.7500
0.8993 0.1007 0.2500
0.3663 0.6337 0.5663
0.3663 0.6337 0.9337
0.6337 0.3663 0.0663
0.6337 0.3663 0.4337
0.1614 0.8386 0.2500
0.8386 0.1614 0.7500
0.0000 0.0000 0.0000
0.0000 0.0000 0.5000
0.2603 0.7397 0.1102
0.2603 0.7397 0.3898
0.7397 0.2603 0.6102
0.7397 0.2603 0.8898
0.4171 0.5829 0.7500
0.5829 0.4171 0.2500
```



(2)
The following is a DFT calculation (PBE) of a geometry-optimized CsCuSnSe2S structure.

## Properties
- SG = Cmcm, No. 63
- electronic total energy (eV/atom) = -3.837
- calculated density (g/cm3) = 5.0
- volume (Å³ per cell) = 334

```
CsCuSnSe2S
1.0
1.9682 -7.8590 0.0000
1.9682 7.8590 0.0000
0.0000 0.0000 10.7906
Cs Cu Sn Se S
2 2 2 4 2
Direct
0.2289 0.7711 0.7500
0.7711 0.2289 0.2500
0.0407 0.9593 0.2500
0.9593 0.0407 0.7500
0.5000 0.5000 0.0000
0.5000 0.5000 0.5000
0.1181 0.8819 0.0509
0.1181 0.8819 0.4491
0.8819 0.1181 0.5509
0.8819 0.1181 0.9491
0.4600 0.5400 0.2500
0.5400 0.4600 0.7500
```



(3)
The following is a DFT calculation (PBE) of a geometry-optimized CsCuSnSeS2 structure.

## Properties
- SG = Cmcm, No. 63
- electronic total energy (eV/atom) = -3.944
- calculated density (g/cm3) = 4.6
- volume (Å³ per cell) = 328

```
CsCuSnSeS2
1.0
1.9405 -7.9345 0.0000
1.9405 7.9345 0.0000
0.0000 0.0000 10.6536
Cs Cu Sn Se S
2 2 2 2 4
Direct
0.2481 0.7519 0.7500
0.7519 0.2481 0.2500
0.0432 0.9568 0.2500
0.9568 0.0432 0.7500
0.5000 0.5000 0.0000
0.5000 0.5000 0.5000
0.4437 0.5563 0.2500
0.5563 0.4437 0.7500
0.1076 0.8924 0.0565
0.1076 0.8924 0.4435
0.8924 0.1076 0.5565
0.8924 0.1076 0.9435
```



(4)
The following is a DFT calculation (PBE) of a geometry-optimized CsTaCuSeS2 structure.

## Properties
- SG = Cmcm, No. 63
- electronic total energy (eV/atom) = -5.516
- calculated density (g/cm3) = 6.0
- volume (Å³ per cell) = 290

```
CsTaCuSeS2
1.0
1.8261 -8.0659 0.0000
1.8261 8.0659 0.0000
0.0000 0.0000 9.8423
Cs Ta Cu Se S
2 2 2 2 4
Direct
0.2433 0.7567 0.7500
0.7567 0.2433 0.2500
0.0000 0.0000 0.0000
0.0000 0.0000 0.5000
0.4661 0.5339 0.2500
0.5339 0.4661 0.7500
0.0665 0.9335 0.2500
0.9335 0.0665 0.7500
0.3962 0.6038 0.0508
0.3962 0.6038 0.4492
0.6038 0.3962 0.5508
0.6038 0.3962 0.9492
```



(5)
The following is a DFT calculation (PBE) of a geometry-optimized CsCuTcSeS2 structure.

## Properties
- SG = Cmcm, No. 63
- electronic total energy (eV/atom) = -4.935
- calculated density (g/cm3) = 5.1
- volume (Å³ per cell) = 284

```
CsCuTcSeS2
1.0
1.8446 -7.9204 0.0000
1.8446 7.9204 0.0000
0.0000 0.0000 9.7192
Cs Cu Tc Se S
2 2 2 2 4
Direct
0.2405 0.7595 0.7500
0.7595 0.2405 0.2500
0.4653 0.5347 0.2500
0.5347 0.4653 0.7500
0.0000 0.0000 0.0000
0.0000 0.0000 0.5000
0.0652 0.9348 0.2500
0.9348 0.0652 0.7500
0.3984 0.6016 0.0445
0.3984 0.6016 0.4555
0.6016 0.3984 0.5445
0.6016 0.3984 0.9555
```



(6)
The following is a DFT calculation (PBE) of a geometry-optimized CsTm2Cu3SeS4 structure.

## Properties
- SG = Cmcm, No. 63
- electronic total energy (eV/atom) = -4.925
- calculated density (g/cm3) = 6.2
- volume (Å³ per cell) = 467

```
CsTm2Cu3SeS4
1.0
1.9801 -7.0328 0.0000
1.9801 7.0328 0.0000
0.0000 0.0000 16.7736
Cs Tm Cu Se S
2 4 6 2 8
Direct
0.0597 0.9403 0.7500
0.9403 0.0597 0.2500
0.1908 0.8092 0.0891
0.1908 0.8092 0.4109
0.8092 0.1908 0.5891
0.8092 0.1908 0.9109
0.3526 0.6474 0.7500
0.4160 0.5840 0.0372
0.4160 0.5840 0.4628
0.5840 0.4160 0.5372
0.5840 0.4160 0.9628
0.6474 0.3526 0.2500
0.2388 0.7612 0.2500
0.7612 0.2388 0.7500
0.1710 0.8290 0.5685
0.1710 0.8290 0.9315
0.4367 0.5633 0.6079
0.4367 0.5633 0.8921
0.5633 0.4367 0.1079
0.5633 0.4367 0.3921
0.8290 0.1710 0.0685
0.8290 0.1710 0.4315
```



(7)
The following is a DFT calculation (PBE) of a geometry-optimized CsTm2CuSeS3 structure.

## Properties
- SG = Cmcm, No. 63
- electronic total energy (eV/atom) = -5.278
- calculated density (g/cm3) = 6.0
- volume (Å³ per cell) = 392
- ΔE to the lowest computed polymorph (kJ per mole of atoms) = 0.0

```
CsTm2CuSeS3
1.0
2.0130 -7.0744 0.0000
2.0130 7.0744 0.0000
0.0000 0.0000 13.7783
Cs Tm Cu Se S
2 4 2 2 6
Direct
0.1050 0.8950 0.7500
0.8950 0.1050 0.2500
0.3610 0.6390 0.5638
0.3610 0.6390 0.9362
0.6390 0.3610 0.0638
0.6390 0.3610 0.4362
0.1677 0.8323 0.2500
0.8323 0.1677 0.7500
0.0000 0.0000 0.0000
0.0000 0.0000 0.5000
0.2560 0.7440 0.1045
0.2560 0.7440 0.3955
0.4161 0.5839 0.7500
0.5839 0.4161 0.2500
0.7440 0.2560 0.6045
0.7440 0.2560 0.8955
```



(8)
The following is a DFT calculation (PBE) of a geometry-optimized CsTm2CuSeS3 structure.

## Properties
- SG = Cmcm, No. 63
- electronic total energy (eV/atom) = -5.243
- calculated density (g/cm3) = 6.0
- volume (Å³ per cell) = 393
- ΔE to the lowest computed polymorph (kJ per mole of atoms) = 3.4

```
CsTm2CuSeS3
1.0
2.0044 -7.0314 0.0000
2.0044 7.0314 0.0000
0.0000 0.0000 13.9447
Cs Tm Cu Se S
2 4 2 2 6
Direct
0.1136 0.8864 0.7500
0.8864 0.1136 0.2500
0.3661 0.6339 0.5574
0.3661 0.6339 0.9426
0.6339 0.3661 0.0574
0.6339 0.3661 0.4426
0.1736 0.8264 0.2500
0.8264 0.1736 0.7500
0.4232 0.5768 0.7500
0.5768 0.4232 0.2500
0.0000 0.0000 0.0000
0.0000 0.0000 0.5000
0.2532 0.7468 0.1022
0.2532 0.7468 0.3978
0.7468 0.2532 0.6022
0.7468 0.2532 0.8978
```



> The highest volume belongs to which entry?

CsTm2Cu3SeS4



What did the fourth record say?
The following is a DFT calculation (PBE) of a geometry-optimized CsTaCuSeS2 structure.

## Properties
- SG = Cmcm, No. 63
- electronic total energy (eV/atom) = -5.516
- calculated density (g/cm3) = 6.0
- volume (Å³ per cell) = 290

```
CsTaCuSeS2
1.0
1.8261 -8.0659 0.0000
1.8261 8.0659 0.0000
0.0000 0.0000 9.8423
Cs Ta Cu Se S
2 2 2 2 4
Direct
0.2433 0.7567 0.7500
0.7567 0.2433 0.2500
0.0000 0.0000 0.0000
0.0000 0.0000 0.5000
0.4661 0.5339 0.2500
0.5339 0.4661 0.7500
0.0665 0.9335 0.2500
0.9335 0.0665 0.7500
0.3962 0.6038 0.0508
0.3962 0.6038 0.4492
0.6038 0.3962 0.5508
0.6038 0.3962 0.9492
```